Compound: MgCr2Au
Source: Alexandria via LeMat-Bulk
Functional: meta-GGA SCAN
Structure: single point on PBEsol structure

Computed properties:
- raw total energy (eV/atom) = -27.756
- Fermi-level density of states (states/eV per cell) = 3.7
- crystal system = tetragonal
- energy of formation (kJ/mol of atoms) = -3

Structure (extended XYZ):
```
4
Lattice="-3.041 2.066 -1.282 -0.907 -2.951 -2.603 -2.353 -1.735 2.786" Properties=species:S:1:pos:R:3 pbc="T T T"
Au -1.520 1.033 -0.641
Cr -1.176 -0.867 1.393
Cr -0.453 -1.475 -1.302
Mg -3.150 -1.310 -0.550
```

Compound: MgCrAu2
Source: Alexandria via LeMat-Bulk
Functional: meta-GGA SCAN
Structure: single point on PBEsol structure

Computed properties:
- raw total energy (eV/atom) = -40.850
- Fermi-level density of states (states/eV per cell) = 1.7
- crystal system = tetragonal
- energy of formation (kJ/mol of atoms) = -42

Structure (extended XYZ):
```
4
Lattice="3.198 0.000 0.000 0.000 3.198 0.000 0.000 0.000 6.476" Properties=species:S:1:pos:R:3 pbc="T T T"
Au 0.000 0.000 4.906
Au 0.000 0.000 1.570
Cr 1.599 1.599 0.000
Mg 1.599 1.599 3.238
```

Compound: MgCrAu2
Source: Alexandria via LeMat-Bulk
Functional: meta-GGA SCAN
Structure: single point on PBEsol structure

Computed properties:
- raw total energy (eV/atom) = -40.562
- Fermi-level density of states (states/eV per cell) = 3.0
- crystal system = trigonal
- energy of formation (kJ/mol of atoms) = -14

Structure (extended XYZ):
```
4
Lattice="3.006 0.000 0.000 1.503 2.604 0.000 1.503 0.868 8.679" Properties=species:S:1:pos:R:3 pbc="T T T"
Au 1.503 0.868 2.224
Au 4.510 2.604 6.455
Cr 3.006 1.736 4.339
Mg 0.000 0.000 0.000
```

- Among the records above, which one has the lowest raw total energy?
  number 2

- Which value of Fermi-level density of states does entry 3 give?
  3.0 states/eV per cell